1.
Material: SnSN2O
Method: DFT, PBE
State: relaxed

abc: 3.676 3.676 3.963
angles: 90.00 90.00 90.00
Positions (direct):
S1 0.000 0.000 0.000
Sn1 0.500 0.500 0.500
O1 0.000 0.000 0.500
N1 0.000 0.500 0.000
N2 0.500 0.000 0.000

Volume = 10.71 Å³/atom
Formation energy from raw total energies = 90 kJ per mole of atoms
Crystal system = tetragonal
DOS(E_F) = 0.27 states/eV/atom


2.
Material: MnGaCl6
Method: DFT, PBE
State: relaxed

abc: 6.132 6.466 6.880
angles: 58.55 59.23 57.85
Site moments in Bohr magnetons follow the coordinates.
Positions (direct):
Mn1 0.500 0.500 0.500  3.65
Ga1 0.000 0.000 0.000  0.02
Cl1 0.106 0.413 0.741  0.00
Cl2 0.735 0.124 0.737  0.01
Cl3 0.626 0.223 0.227  0.03
Cl4 0.265 0.876 0.263  0.01
Cl5 0.894 0.587 0.259  0.00
Cl6 0.374 0.777 0.773  0.03

Volume = 23.30 Å³/atom
Formation energy from raw total energies = -85 kJ per mole of atoms
Distance to the lowest polymorph of the same formula = 0.37 eV/f.u.
Crystal system = triclinic


3.
Material: TcNiRhW
Method: DFT, PBE
State: relaxed

abc: 4.309 4.309 4.309
angles: 60.00 60.00 60.00
Positions (direct):
Ni1 0.500 0.500 0.500
Rh1 0.250 0.250 0.250
Tc1 0.750 0.750 0.750
W1 0.000 0.000 0.000

Volume = 14.14 Å³/atom
E_form = 50 meV/atom
Crystal system = cubic
DOS(E_F) = 1.23 states/eV/atom


Copy entry 1 word for word.
Material: SnSN2O
Method: DFT, PBE
State: relaxed

abc: 3.676 3.676 3.963
angles: 90.00 90.00 90.00
Positions (direct):
S1 0.000 0.000 0.000
Sn1 0.500 0.500 0.500
O1 0.000 0.000 0.500
N1 0.000 0.500 0.000
N2 0.500 0.000 0.000

Volume = 10.71 Å³/atom
Formation energy from raw total energies = 90 kJ per mole of atoms
Crystal system = tetragonal
DOS(E_F) = 0.27 states/eV/atom


> What is the formula in the third record?

TcNiRhW


Repeat the second record exactly.
Material: MnGaCl6
Method: DFT, PBE
State: relaxed

abc: 6.132 6.466 6.880
angles: 58.55 59.23 57.85
Site moments in Bohr magnetons follow the coordinates.
Positions (direct):
Mn1 0.500 0.500 0.500  3.65
Ga1 0.000 0.000 0.000  0.02
Cl1 0.106 0.413 0.741  0.00
Cl2 0.735 0.124 0.737  0.01
Cl3 0.626 0.223 0.227  0.03
Cl4 0.265 0.876 0.263  0.01
Cl5 0.894 0.587 0.259  0.00
Cl6 0.374 0.777 0.773  0.03

Volume = 23.30 Å³/atom
Formation energy from raw total energies = -85 kJ per mole of atoms
Distance to the lowest polymorph of the same formula = 0.37 eV/f.u.
Crystal system = triclinic


> volume of number 1 (SnSN2O)?

10.71 Å³/atom